# La2Mg2Hg (GGA-PBE, optimized geometry)
# Space-group type: P4/mbm (127)
# D(E_F): 3.97 states/eV/f.u.
# Formation enthalpy at 0 K: -0.183 eV/atom
# ΔE to the lowest computed polymorph: 59.4 meV/atom
# Total magnetic moment: 0.000 μB per formula unit
# E_tot: -2.85 eV per atom
data_La2Mg2Hg
_chemical_formula_sum 'La4 Mg4 Hg2'
_symmetry_space_group_name_H-M 'P 1'
_symmetry_Int_Tables_number 1
_symmetry_space_group_name_Hall 'P 1'
_cell_length_a 7.337
_cell_length_b 7.337
_cell_length_c 5.303
_cell_angle_alpha 90.00
_cell_angle_beta 90.00
_cell_angle_gamma 90.00
loop_
_atom_site_label
_atom_site_fract_x
_atom_site_fract_y
_atom_site_fract_z
_atom_site_occupancy
La1 0.162 0.338 0.000 1
La2 0.338 0.838 0.000 1
La3 0.662 0.162 0.000 1
La4 0.838 0.662 0.000 1
Mg1 0.142 0.642 0.500 1
Mg2 0.358 0.142 0.500 1
Mg3 0.642 0.858 0.500 1
Mg4 0.858 0.358 0.500 1
Hg1 0.000 0.000 0.500 1
Hg2 0.500 0.500 0.500 1